Nd6Ho16Tm7 | PBE | optimized geometry

a = 15.7135 Å, b = 15.7135 Å, c = 15.7135 Å
α = 90.00°, β = 90.00°, γ = 90.00°
Last column: nearest neighbours and their distance in Å.
Space group Fm-3m (No. 225)
One atom of each set of equivalent atoms:
Nd1 0.0000 0.0000 0.2157 [24 per cell]  8 Ho 3.57-3.72, 4 Tm 3.97
Ho1 0.1221 0.1221 0.3779 [32 per cell]  4 Tm 3.32-3.43, 3 Ho 3.58, 3 Nd 3.72
Ho2 0.1545 0.1545 0.1545 [32 per cell]  3 Tm 3.22, 3 Nd 3.57, 3 Ho 3.58
Tm1 0.0000 0.0000 0.5000 [4 per cell]  8 Ho 3.32
Tm2 0.0000 0.2500 0.2500 [24 per cell]  8 Ho 3.22-3.43

M_tot ... 29.46 μB/cell
D(E_F) ... 199.71 states/eV/cell
Total DFT energy (no corrections) ... -4.356 eV per atom